(1)
DFT (GGA-PBE) results for crystalline BiPt7 at its relaxed geometry. Values from VASP.

Properties
The raw total energy comes out at -5.726 eV per atom. Its density is 14.24 Mg/m³.

Structure (Quantum ESPRESSO input):
```
&SYSTEM
  ibrav = 0, nat = 16, ntyp = 2
/
ATOMIC_SPECIES
Bi 208.98 Bi.upf
Pt 195.08 Pt.upf
ATOMIC_POSITIONS crystal
Bi 0.250 0.250 0.164
Bi 0.750 0.750 0.836
Pt 0.250 0.250 0.260
Pt 0.250 0.250 0.347
Pt 0.250 0.250 0.434
Pt 0.250 0.250 0.522
Pt 0.250 0.250 0.610
Pt 0.250 0.250 0.697
Pt 0.250 0.250 0.786
Pt 0.750 0.750 0.214
Pt 0.750 0.750 0.303
Pt 0.750 0.750 0.390
Pt 0.750 0.750 0.478
Pt 0.750 0.750 0.566
Pt 0.750 0.750 0.653
Pt 0.750 0.750 0.740
CELL_PARAMETERS angstrom
3.029 0.000 0.000
0.000 3.029 0.000
0.000 0.000 40.006
```



(2)
DFT (GGA-PBE) results for crystalline TbSbNO at its relaxed geometry. Values from VASP.

Properties
Its density is 6.62 Mg/m³. The energy above the most stable polymorph in this dataset comes out at 154.0 meV per atom.

Structure (Quantum ESPRESSO input):
```
&SYSTEM
  ibrav = 0, nat = 8, ntyp = 4
/
ATOMIC_SPECIES
Tb 158.93 Tb.upf
Sb 121.76 Sb.upf
N 14.01 N.upf
O 16.00 O.upf
ATOMIC_POSITIONS crystal
Tb 0.000 0.193 0.000
Tb 0.000 0.807 0.500
Sb 0.500 0.328 0.585
Sb 0.500 0.672 0.085
N 0.500 0.387 0.925
N 0.500 0.613 0.425
O 0.000 0.072 0.306
O 0.000 0.928 0.806
CELL_PARAMETERS angstrom
3.835 0.000 0.000
0.000 6.404 0.000
0.000 0.000 6.350
```



(3)
DFT (GGA-PBE) results for crystalline LaHoO4 at its relaxed geometry. Values from VASP.

Properties
The raw total energy comes out at -7.816 eV per atom. Its density is 7.41 Mg/m³.

Structure (Quantum ESPRESSO input):
```
&SYSTEM
  ibrav = 0, nat = 6, ntyp = 3
/
ATOMIC_SPECIES
La 138.91 La.upf
Ho 164.93 Ho.upf
O 16.00 O.upf
ATOMIC_POSITIONS crystal
La 0.000 0.000 0.000
Ho 0.607 0.607 0.538
O 0.214 0.214 0.353
O 0.377 0.377 0.215
O 0.649 0.649 0.892
O 0.949 0.949 0.611
CELL_PARAMETERS angstrom
3.345 -1.948 0.000
3.345 1.948 0.000
-0.866 0.000 6.328
```



(4)
DFT (GGA-PBE) results for crystalline ErThU at its relaxed geometry. Values from VASP.

Properties
The formation energy is 1168.7 meV per atom. Its density is 10.68 Mg/m³. The energy above the most stable polymorph in this dataset comes out at 0.0 meV per atom.

Structure (Quantum ESPRESSO input):
```
&SYSTEM
  ibrav = 0, nat = 3, ntyp = 3
/
ATOMIC_SPECIES
Er 167.26 Er.upf
Th 232.04 Th.upf
U 238.03 U.upf
ATOMIC_POSITIONS crystal
Er 0.000 0.000 0.000
Th 0.500 0.500 0.500
U 0.250 0.250 0.250
CELL_PARAMETERS angstrom
0.000 3.673 3.673
3.673 0.000 3.673
3.673 3.673 0.000
```



(5)
DFT (GGA-PBE) results for crystalline NdGd2Mg3In2Hg at its relaxed geometry. Values from VASP.

Properties
The raw total energy comes out at -3.153 eV per atom. Its density is 6.83 Mg/m³.

Structure (Quantum ESPRESSO input):
```
&SYSTEM
  ibrav = 0, nat = 9, ntyp = 5
/
ATOMIC_SPECIES
Nd 144.24 Nd.upf
Gd 157.25 Gd.upf
Mg 24.30 Mg.upf
In 114.82 In.upf
Hg 200.59 Hg.upf
ATOMIC_POSITIONS crystal
Nd 0.000 0.000 0.000
Gd 0.000 0.418 0.837
Gd 0.000 0.837 0.418
Mg 0.500 0.181 0.420
Mg 0.500 0.420 0.181
Mg 0.500 0.659 0.659
In 0.500 0.087 0.749
In 0.500 0.749 0.087
Hg 0.000 0.425 0.425
CELL_PARAMETERS angstrom
4.672 0.000 0.000
0.000 6.620 3.783
0.000 -6.620 3.783
```



(6)
DFT (GGA-PBE) results for crystalline LiYTlPd at its relaxed geometry. Values from VASP.

Properties
Its density is 7.97 Mg/m³. The energy above the most stable polymorph in this dataset comes out at 77.9 meV per atom.

Structure (Quantum ESPRESSO input):
```
&SYSTEM
  ibrav = 0, nat = 4, ntyp = 4
/
ATOMIC_SPECIES
Li 6.94 Li.upf
Y 88.91 Y.upf
Tl 204.38 Tl.upf
Pd 106.42 Pd.upf
ATOMIC_POSITIONS crystal
Li 0.000 0.000 0.000
Y 0.500 0.500 0.500
Tl 0.250 0.250 0.250
Pd 0.750 0.750 0.750
CELL_PARAMETERS angstrom
0.000 3.486 3.486
3.486 0.000 3.486
3.486 3.486 0.000
```



(7)
DFT (GGA-PBE) results for crystalline TbErNO at its relaxed geometry. Values from VASP.

Properties
Its density is 7.77 Mg/m³. The energy above the most stable polymorph in this dataset comes out at 412.4 meV per atom.

Structure (Quantum ESPRESSO input):
```
&SYSTEM
  ibrav = 0, nat = 8, ntyp = 4
/
ATOMIC_SPECIES
Tb 158.93 Tb.upf
Er 167.26 Er.upf
N 14.01 N.upf
O 16.00 O.upf
ATOMIC_POSITIONS crystal
Tb 0.250 0.250 0.098
Tb 0.750 0.750 0.902
Er 0.250 0.750 0.500
Er 0.750 0.250 0.500
N 0.250 0.250 0.578
N 0.750 0.750 0.422
O 0.250 0.750 0.000
O 0.750 0.250 0.000
CELL_PARAMETERS angstrom
4.351 0.000 0.000
0.000 4.351 0.000
0.000 0.000 8.043
```



(8)
DFT (GGA-PBE) results for crystalline AcDyZr at its relaxed geometry. Values from VASP.

Properties
The formation energy is 754.7 meV per atom. Its density is 7.24 Mg/m³. The energy above the most stable polymorph in this dataset comes out at 0.0 meV per atom.

Structure (Quantum ESPRESSO input):
```
&SYSTEM
  ibrav = 0, nat = 3, ntyp = 3
/
ATOMIC_SPECIES
Ac 227.00 Ac.upf
Dy 162.50 Dy.upf
Zr 91.22 Zr.upf
ATOMIC_POSITIONS crystal
Ac 0.000 0.000 0.000
Dy 0.500 0.500 0.500
Zr 0.250 0.250 0.250
CELL_PARAMETERS angstrom
0.000 3.806 3.806
3.806 0.000 3.806
3.806 3.806 0.000
```



(9)
DFT (GGA-PBE) results for crystalline ScBeNi at its relaxed geometry. Values from VASP.

Properties
Its density is 3.72 Mg/m³. The energy above the most stable polymorph in this dataset comes out at 590.9 meV per atom.

Structure (Quantum ESPRESSO input):
```
&SYSTEM
  ibrav = 0, nat = 3, ntyp = 3
/
ATOMIC_SPECIES
Sc 44.96 Sc.upf
Be 9.01 Be.upf
Ni 58.69 Ni.upf
ATOMIC_POSITIONS crystal
Sc 0.000 0.000 0.000
Be 0.750 0.750 0.750
Ni 0.250 0.250 0.250
CELL_PARAMETERS angstrom
0.000 2.930 2.930
2.930 0.000 2.930
2.930 2.930 0.000
```



(10)
DFT (GGA-PBE) results for crystalline CuReIrAu at its relaxed geometry. Values from VASP.

Properties
The formation energy is 430.4 meV per atom. Its density is 17.83 Mg/m³. The energy above the most stable polymorph in this dataset comes out at 0.0 meV per atom.

Structure (Quantum ESPRESSO input):
```
&SYSTEM
  ibrav = 0, nat = 4, ntyp = 4
/
ATOMIC_SPECIES
Cu 63.55 Cu.upf
Re 186.21 Re.upf
Ir 192.22 Ir.upf
Au 196.97 Au.upf
ATOMIC_POSITIONS crystal
Cu 0.000 0.000 0.000
Re 0.250 0.250 0.250
Ir 0.500 0.500 0.500
Au 0.750 0.750 0.750
CELL_PARAMETERS angstrom
0.000 3.099 3.099
3.099 0.000 3.099
3.099 3.099 0.000
```



(11)
DFT (GGA-PBE) results for crystalline CoCuSbIr at its relaxed geometry. Values from VASP.

Properties
Its density is 12.61 Mg/m³. The energy above the most stable polymorph in this dataset comes out at 0.0 meV per atom.

Structure (Quantum ESPRESSO input):
```
&SYSTEM
  ibrav = 0, nat = 4, ntyp = 4
/
ATOMIC_SPECIES
Co 58.93 Co.upf
Cu 63.55 Cu.upf
Sb 121.76 Sb.upf
Ir 192.22 Ir.upf
ATOMIC_POSITIONS crystal
Co 0.000 0.000 0.000
Cu 0.250 0.250 0.250
Sb 0.750 0.750 0.750
Ir 0.500 0.500 0.500
CELL_PARAMETERS angstrom
0.000 3.063 3.063
3.063 0.000 3.063
3.063 3.063 0.000
```



(12)
DFT (GGA-PBE) results for crystalline HfZr2Fe4As4 at its relaxed geometry. Values from VASP.

Properties
The raw total energy comes out at -7.758 eV per atom. Its density is 8.11 Mg/m³.

Structure (Quantum ESPRESSO input):
```
&SYSTEM
  ibrav = 0, nat = 11, ntyp = 4
/
ATOMIC_SPECIES
Hf 178.49 Hf.upf
Zr 91.22 Zr.upf
Fe 55.84 Fe.upf
As 74.92 As.upf
ATOMIC_POSITIONS crystal
Hf 0.000 0.000 0.000
Zr 0.487 0.000 0.848
Zr 0.567 0.500 0.490
Fe 0.169 0.500 0.722
Fe 0.430 0.000 0.223
Fe 0.664 0.500 0.121
Fe 0.908 0.000 0.624
As 0.257 0.000 0.517
As 0.285 0.500 0.064
As 0.793 0.500 0.806
As 0.805 0.000 0.308
CELL_PARAMETERS angstrom
6.480 0.000 0.000
0.000 3.746 0.000
-0.067 0.000 7.458
```